1.
# GGA+U KCrSiF6, relaxed
# - VASP energy: -99.82 eV/cell
data_KCrSiF6
_chemical_formula_sum 'K2 Cr2 Si2 F12'
_symmetry_space_group_name_H-M 'P -3 1 c'
_symmetry_Int_Tables_number 163
_symmetry_space_group_name_Hall '-P 3 2c'
_cell_length_a 5.7609
_cell_length_b 5.7609
_cell_length_c 10.1309
_cell_angle_alpha 90.00
_cell_angle_beta 90.00
_cell_angle_gamma 120.00
loop_
_atom_site_label
_atom_site_fract_x
_atom_site_fract_y
_atom_site_fract_z
K1 0.0000 0.0000 0.0000
Cr1 0.3333 0.6667 0.2500
Si1 0.3333 0.6667 0.7500
F1 0.0870 0.4231 0.6526

2.
# GGA+U Cs2MnCd2O4, relaxed
# - Fermi-level density of states: 0.91 states/eV/cell
# - VASP energy: -81.55 eV/cell
data_Cs2MnCd2O4
_chemical_formula_sum 'Cs4 Mn2 Cd4 O8'
_symmetry_space_group_name_H-M 'C 1 2/m 1'
_symmetry_Int_Tables_number 12
_symmetry_space_group_name_Hall '-C 2y'
_cell_length_a 15.7898
_cell_length_b 3.4749
_cell_length_c 6.7492
_cell_angle_alpha 90.00
_cell_angle_beta 93.65
_cell_angle_gamma 90.00
loop_
_atom_site_label
_atom_site_fract_x
_atom_site_fract_y
_atom_site_fract_z
Cs1 0.1238 0.0000 0.0432
Mn1 0.0000 0.0000 0.5000
Cd1 0.1800 0.5000 0.5904
O1 0.0481 0.5000 0.6743
O2 0.2406 0.5000 0.2909

Computed magnetization (μB/cell) in order:
10.00 9.96